A geometry-optimized Co2RuF8 structure. Source: Alexandria via LeMat-Bulk, functional GGA+U.

a = 6.3974 Å, b = 6.3974 Å, c = 4.0350 Å
α = 90.00°, β = 90.00°, γ = 120.00°
Closest atoms and distances in Å follow each position.
Positions (direct):
Co: 0.3333 0.6667 0.2007  5 F 1.95-2.08
Co: 0.6667 0.3333 0.7993  5 F 1.95-2.08
Ru: 0.0000 0.0000 0.0000  6 F 1.96
F: 0.1517 0.3034 0.2494  1 Ru 1.96, 1 Co 2.02
F: 0.1517 0.8483 0.2494  1 Ru 1.96, 1 Co 2.02
F: 0.3034 0.1517 0.7506  1 Ru 1.96, 1 Co 2.02
F: 0.3333 0.6667 0.7163  2 Co 1.95-2.08
F: 0.6667 0.3333 0.2837  2 Co 1.95-2.08
F: 0.6966 0.8483 0.2494  1 Ru 1.96, 1 Co 2.02
F: 0.8483 0.1517 0.7506  1 Ru 1.96, 1 Co 2.02
F: 0.8483 0.6966 0.7506  1 Ru 1.96, 1 Co 2.02

Computed properties:
**VASP energy**: -4.925 eV per atom
**SG**: P-3m1 (164)